# 1
Compound: Ba2CaPmTe4
Source: the Alexandria database
Functional: PBE
Structure: relaxed

```
Ba2CaPmTe4
1.0
8.148 0.000 0.000
0.000 4.693 0.000
-2.711 0.000 7.828
Ba Ca Pm Te
2 1 1 4
Cartesian
0.000 0.000 0.000
4.074 2.346 0.000
-1.356 2.346 3.914
2.719 0.000 3.914
0.015 0.000 5.646
1.368 2.346 2.178
4.070 2.346 5.649
5.422 0.000 2.182
```

Mass density = 5.38 Mg/m³
Uncorrected formation energy = -13.06 eV/f.u.
SG = P2/m (10)
Crystal system = monoclinic



# 2
Compound: K3FeRh3S8
Source: the Alexandria database
Functional: PBE
Structure: relaxed

```
K3FeRh3S8
1.0
3.616 2.087 7.057
-3.616 2.087 7.057
0.000 -4.175 7.057
K Fe Rh S
3 1 3 8
Cartesian
-1.808 -1.044 7.057
-1.808 1.044 14.114
0.000 2.087 7.057
0.000 0.000 10.585
-3.616 0.000 10.585
-1.808 1.044 3.528
1.808 1.044 3.528
0.000 0.000 4.709
-1.767 -1.020 11.742
0.000 -2.040 9.428
-1.767 1.020 9.428
1.767 -1.020 11.742
0.000 2.040 11.742
1.767 1.020 9.428
0.000 0.000 16.462
```

Mass density = 3.84 Mg/m³
Uncorrected formation energy = -10.09 eV/f.u.
SG = R-3m (166)
Crystal system = trigonal



Number 1: D(E_F) 2.65 states/eV per cell. Number 2: D(E_F) 4.28 states/eV per cell.